[1]
Density functional theory data (PBE) for H2RuWCl after structural relaxation.

Computed properties:
E_tot, eV per atom: -4.9263

```
data_H2RuWCl
_chemical_formula_sum 'H2 Ru1 W1 Cl1'
_cell_length_a 3.418
_cell_length_b 3.418
_cell_length_c 7.920
_cell_angle_alpha 90.00
_cell_angle_beta 90.00
_cell_angle_gamma 90.00
_space_group_name_H-M_alt 'P 4/m m m'
_space_group_IT_number 123
_space_group_name_Hall '-P 4 2'
loop_
_atom_site_label
_atom_site_fract_x
_atom_site_fract_y
_atom_site_fract_z
H1 0.000 0.500 0.000
Ru1 0.000 0.000 0.500
W1 0.500 0.500 0.500
Cl1 0.500 0.500 0.000
```

---

[2]
Density functional theory data (PBE) for H7S2Cl2 after structural relaxation.

Computed properties:
Polymorph energy (0 for the lowest one), eV/atom: 0.000

```
data_H7S2Cl2
_chemical_formula_sum 'H14 S4 Cl4'
_cell_length_a 4.622
_cell_length_b 11.115
_cell_length_c 8.320
_cell_angle_alpha 90.00
_cell_angle_beta 114.43
_cell_angle_gamma 90.00
_space_group_name_H-M_alt 'P 1 21/c 1'
_space_group_IT_number 14
loop_
_space_group_symop_operation_xyz
'x,y,z'
'-x,-y,-z'
'-x,y+1/2,-z+1/2'
'x,-y+1/2,z+1/2'
loop_
_atom_site_label
_atom_site_fract_x
_atom_site_fract_y
_atom_site_fract_z
H1 0.000 0.000 0.000
H2 0.061 0.025 0.516
H3 0.109 0.178 0.126
H4 0.310 0.654 0.590
S1 0.162 0.602 0.421
Cl1 0.485 0.218 0.663
```